#i
KRb3Pb PBE relaxed; DOS(E_F) = 0.457 states/eV per atom; theoretical density = 2.04 g/cm3
1.0
-4.0267 -5.8329 2.2058
5.9476 -4.3815 -0.7288
1.8747 1.3720 7.0502
Pb K Rb
1 1 3
direct
0.5000 0.5000 0.5000
0.0000 0.0000 0.0000
0.0000 0.5000 0.0000
0.0000 0.0000 0.5000
0.5000 0.0000 0.0000


#ii
KRb3Pb PBE relaxed; DOS(E_F) = 1.637 states/eV per atom; theoretical density = 2.13 g/cm3
1.0
7.3156 0.0000 0.0000
0.0000 7.3156 0.0000
0.0000 0.0000 7.3156
Rb Pb K
3 1 1
direct
0.0000 0.0000 0.5000
0.0000 0.5000 0.0000
0.5000 0.0000 0.0000
0.0000 0.0000 0.0000
0.5000 0.5000 0.5000


Consider the structures shown above. The most stable of them is #ii.